w.
## TbPdSe2 (PBE)

Data for TbPdSe2 after structural relaxation.

Cell and atoms, written as POSCAR:
```
TbPdSe2
1.0
-1.897 -3.498 -0.764
1.276 -2.379 -3.022
3.674 -4.934 2.720
Tb Pd Se
1 1 2
Cartesian
1.554 -5.427 -0.505
3.194 -8.801 0.127
2.804 -4.267 1.827
0.703 -2.657 -0.328
```

Properties
Magnetization   0.00 μB per formula unit

***

x.
## TbPdSe2 (PBE)

Data for TbPdSe2 after structural relaxation.

Cell and atoms, written as POSCAR:
```
TbPdSe2
1.0
-0.220 -1.040 -3.649
-1.675 -3.278 -0.944
-7.926 2.483 -2.210
Tb Se Pd
1 2 1
Cartesian
0.000 0.000 0.000
-5.464 1.160 -1.981
-4.356 -2.995 -4.821
-4.910 -0.918 -3.401
```

Properties
Magnetization   0.00 μB per formula unit

***

Which of them is most stable? Easy: w.

***

w.
## Tc2PdSe2 (PBE)

Data for Tc2PdSe2 after structural relaxation.

Cell and atoms, written as POSCAR:
```
Tc2PdSe2
1.0
4.051 0.000 0.000
0.000 4.051 0.000
2.026 2.026 5.376
Se Tc Pd
2 2 1
Cartesian
4.051 2.026 2.688
2.026 4.051 2.688
2.026 2.026 1.238
4.051 4.051 4.138
0.000 0.000 0.000
```

Properties
Magnetization   0.00 μB per formula unit

***

x.
## Tc2PdSe2 (PBE)

Data for Tc2PdSe2 after structural relaxation.

Cell and atoms, written as POSCAR:
```
Tc2PdSe2
1.0
-3.224 4.173 -4.875
-6.042 -0.137 3.879
0.936 2.532 1.548
Se Tc Pd
4 4 2
Cartesian
-3.962 1.811 2.562
-6.758 3.870 0.885
-4.369 4.756 -2.010
-1.572 2.697 -0.333
-6.354 1.383 1.581
-6.641 3.499 -1.707
-2.913 2.653 -2.577
-2.626 0.536 0.711
0.000 0.000 0.000
-4.633 2.018 -0.498
```

Properties
Magnetization   0.00 μB per formula unit

***

Which of them is most stable? Easy: x.

***

w.
## TePdSe (PBE)

Data for TePdSe after structural relaxation.

Cell and atoms, written as POSCAR:
```
TePdSe
1.0
3.955 0.000 0.000
0.000 6.786 -1.249
0.000 0.582 5.029
Te Pd Se
2 2 2
Cartesian
2.966 4.551 3.112
0.989 2.817 0.668
2.966 1.925 2.236
0.989 5.443 1.544
2.966 6.243 0.084
0.989 1.125 3.697
```

Properties
Magnetization   0.00 μB per formula unit

***

x.
## TePdSe (PBE)

Data for TePdSe after structural relaxation.

Cell and atoms, written as POSCAR:
```
TePdSe
1.0
-1.451 -2.681 2.727
4.269 0.746 3.004
-3.079 4.884 3.163
Te Pd Se
2 2 2
Cartesian
1.221 -0.336 3.386
0.029 3.380 3.338
1.012 0.192 0.726
0.976 1.683 5.240
-0.982 1.902 1.348
0.631 3.681 7.021
```

Properties
Magnetization   0.00 μB per formula unit

***

y.
## TePdSe (PBE)

Data for TePdSe after structural relaxation.

Cell and atoms, written as POSCAR:
```
TePdSe
1.0
-1.437 1.598 3.326
-2.025 -2.847 -1.864
2.392 -3.468 2.700
Te Se Pd
1 1 1
Cartesian
1.741 -2.524 1.965
-1.005 -0.794 2.305
-1.805 -1.400 -0.107
```

Properties
Magnetization   0.00 μB per formula unit

***

Which of them is most stable? Easy: y.

***

w.
## Te2PdSe2 (PBE)

Data for Te2PdSe2 after structural relaxation.

Cell and atoms, written as POSCAR:
```
Te2PdSe2
1.0
6.721 0.000 0.000
0.000 6.721 0.000
0.000 0.000 5.690
Te Se Pd
4 4 2
Cartesian
1.864 5.224 2.845
5.224 4.857 2.845
4.857 1.497 2.845
1.497 1.864 2.845
2.209 5.569 0.000
5.569 4.512 0.000
4.512 1.152 0.000
1.152 2.209 0.000
0.000 0.000 0.000
3.360 3.360 0.000
```

Properties
Magnetization   0.00 μB per formula unit

***

x.
## Te2PdSe2 (PBE)

Data for Te2PdSe2 after structural relaxation.

Cell and atoms, written as POSCAR:
```
Te2PdSe2
1.0
-1.547 -3.428 -1.707
5.253 -3.599 2.466
-2.394 1.149 4.858
Te Pd Se
2 1 2
Cartesian
1.608 -3.226 5.019
-0.296 -2.652 0.597
0.000 0.000 0.000
-1.567 -3.136 2.721
2.879 -2.741 2.895
```

Properties
Magnetization   0.00 μB per formula unit

***

Which of them is most stable? Easy: x.

***

w.
## TiPd2Se2 (PBE)

Data for TiPd2Se2 after structural relaxation.

Cell and atoms, written as POSCAR:
```
TiPd2Se2
1.0
7.030 0.000 0.000
0.000 7.030 0.000
0.000 0.000 3.568
Se Pd Ti
4 4 2
Cartesian
1.275 4.790 1.784
4.790 5.756 1.784
5.756 2.241 1.784
2.241 1.275 1.784
2.583 6.098 0.000
6.098 4.448 0.000
4.448 0.932 0.000
0.932 2.583 0.000
0.000 0.000 0.000
3.515 3.515 0.000
```

Properties
Magnetization   0.00 μB per formula unit

***

x.
## TiPd2Se2 (PBE)

Data for TiPd2Se2 after structural relaxation.

Cell and atoms, written as POSCAR:
```
TiPd2Se2
1.0
3.858 0.000 0.000
0.000 3.858 0.000
1.929 1.929 6.340
Se Pd Ti
2 2 1
Cartesian
3.858 1.929 3.170
1.929 3.858 3.170
1.929 1.929 1.295
3.858 3.858 5.046
0.000 0.000 0.000
```

Properties
Magnetization   0.00 μB per formula unit

***

Which of them is most stable? Easy: w.

***

w.
## Ti2Pd2Se (PBE)

Data for Ti2Pd2Se after structural relaxation.

Cell and atoms, written as POSCAR:
```
Ti2Pd2Se
1.0
7.229 0.000 0.000
0.000 7.229 0.000
0.000 0.000 3.274
Se Pd Ti
2 4 4
Cartesian
0.000 0.000 0.000
3.614 3.614 0.000
2.661 6.276 0.000
6.276 4.567 0.000
4.567 0.953 0.000
0.953 2.661 0.000
1.187 4.801 1.637
4.801 6.042 1.637
6.042 2.428 1.637
2.428 1.187 1.637
```

Properties
Magnetization   0.00 μB per formula unit

***

x.
## Ti2Pd2Se (PBE)

Data for Ti2Pd2Se after structural relaxation.

Cell and atoms, written as POSCAR:
```
Ti2Pd2Se
1.0
-2.462 -4.840 4.105
2.496 -4.787 -4.146
3.189 0.003 1.917
Se Pd Ti
2 4 4
Cartesian
0.000 0.000 0.000
0.017 -4.813 -0.021
2.848 -3.711 -1.121
2.181 -7.212 -0.005
0.376 -5.913 2.996
1.043 -2.411 1.880
1.260 -5.673 -2.087
-0.424 -7.225 0.717
-1.226 -3.954 2.046
0.458 -2.402 -0.759
```

Properties
Magnetization   0.00 μB per formula unit

***

y.
## Ti2Pd2Se (PBE)

Data for Ti2Pd2Se after structural relaxation.

Cell and atoms, written as POSCAR:
```
Ti2Pd2Se
1.0
-1.627 -2.776 -2.670
3.169 0.683 -2.641
3.646 -5.052 -0.243
Se Pd Ti
1 2 2
Cartesian
0.000 0.000 0.000
1.441 -1.979 -2.093
3.747 -5.165 -3.460
1.395 -4.437 -2.784
3.792 -2.707 -2.770
```

Properties
Magnetization   1.01 μB per formula unit

***

Which of them is most stable? Easy: x.

***

w.
## TlPd2Se (PBE)

Data for TlPd2Se after structural relaxation.

Cell and atoms, written as POSCAR:
```
TlPd2Se
1.0
0.000 3.339 3.339
3.339 0.000 3.339
3.339 3.339 0.000
Tl Se Pd
1 1 2
Cartesian
3.339 3.339 3.339
0.000 0.000 0.000
1.670 1.670 1.670
5.009 5.009 5.009
```

Properties
Magnetization   0.00 μB per formula unit

***

x.
## TlPd2Se (PBE)

Data for TlPd2Se after structural relaxation.

Cell and atoms, written as POSCAR:
```
TlPd2Se
1.0
4.823 0.000 0.000
0.000 4.823 0.000
2.411 2.411 7.953
Tl Se Pd
2 2 4
Cartesian
0.000 0.000 0.000
4.823 2.411 3.976
2.411 2.411 0.000
2.411 4.823 3.976
3.192 1.206 1.988
1.631 3.617 1.988
3.617 4.042 5.964
6.028 5.603 5.964
```

Properties
Magnetization   0.00 μB per formula unit

***

y.
## TlPd2Se (PBE)

Data for TlPd2Se after structural relaxation.

Cell and atoms, written as POSCAR:
```
TlPd2Se
1.0
3.971 0.000 0.000
1.986 3.439 0.000
1.986 1.146 6.019
Tl Pd Se
1 2 1
Cartesian
3.971 2.293 3.062
1.986 1.146 4.684
1.986 1.146 1.360
5.957 3.439 5.942
```

Properties
Magnetization   0.00 μB per formula unit

***

z.
## TlPd2Se (PBE)

Data for TlPd2Se after structural relaxation.

Cell and atoms, written as POSCAR:
```
TlPd2Se
1.0
4.083 0.000 0.000
0.000 6.768 0.000
0.000 0.000 11.891
Tl Pd Se
4 8 4
Cartesian
3.062 5.054 7.831
1.021 5.098 1.886
1.021 1.714 4.060
3.062 1.670 10.005
3.062 0.816 6.372
1.021 2.568 0.426
1.021 5.952 5.519
3.062 4.201 11.465
3.062 3.193 2.666
1.021 0.192 8.612
1.021 3.576 9.225
3.062 6.577 3.279
3.062 4.608 4.809
1.021 5.544 10.754
1.021 2.160 7.082
3.062 1.224 1.137
```

Properties
Magnetization   0.00 μB per formula unit

***

Which of them is most stable? Easy: z.

***

w.
## TlPd2Se3 (PBE)

Data for TlPd2Se3 after structural relaxation.

Cell and atoms, written as POSCAR:
```
TlPd2Se3
1.0
-3.522 6.559 -0.289
-5.671 1.391 4.628
0.929 4.979 5.640
Tl Pd Se
2 4 6
Cartesian
-1.634 3.484 2.948
-6.630 9.445 7.030
0.000 0.000 0.000
-1.761 3.280 -0.145
-4.597 3.975 2.169
-2.836 0.695 2.314
-4.240 6.530 7.787
-3.183 9.072 5.369
-1.451 5.846 5.511
-5.082 3.857 4.609
-4.025 6.399 2.191
-6.813 7.082 4.467
```

Properties
Magnetization   0.00 μB per formula unit

***

x.
## TlPd2Se3 (PBE)

Data for TlPd2Se3 after structural relaxation.

Cell and atoms, written as POSCAR:
```
TlPd2Se3
1.0
-2.879 0.312 -6.934
2.841 -6.452 2.601
-5.367 -1.492 2.162
Tl Pd Se
2 4 6
Cartesian
-4.426 -2.902 -2.364
-0.979 -4.729 0.194
0.000 0.000 0.000
1.421 -3.226 1.301
-1.440 0.156 -3.467
-0.019 -3.070 -2.166
-3.046 -1.152 -4.858
-1.652 -4.319 -3.580
-1.633 -1.305 -1.453
-3.773 -6.326 -0.717
-2.359 -6.480 2.687
-3.754 -3.312 1.410
```

Properties
Magnetization   0.00 μB per formula unit

***

Which of them is most stable? Easy: x.